FeTe2I2 PBEsol relaxed; ΔE_f (raw) = 2.73 eV per formula unit
1.0
-1.989 1.989 10.902
1.989 -1.989 10.902
1.989 1.989 -10.902
Fe Te I
1 2 2
direct
0.000 0.000 0.000
0.250 0.750 0.500
0.750 0.250 0.500
0.421 0.421 0.000
0.579 0.579 0.000